# GGA+U NiSeIO2, optimized geometry
data_NiSeIO2
_cell_length_a 3.818
_cell_length_b 3.818
_cell_length_c 7.167
_cell_angle_alpha 90.00
_cell_angle_beta 90.00
_cell_angle_gamma 90.00
_symmetry_space_group_name_H-M 'P 1'
_symmetry_Int_Tables_number 1
loop_
_symmetry_equiv_pos_as_xyz
'x,y,z'
loop_
_atom_site_label
_atom_site_type_symbol
_atom_site_fract_x
_atom_site_fract_y
_atom_site_fract_z
Se1 Se 0.000 0.000 0.000
Ni1 Ni 0.500 0.500 0.500
O1 O 0.000 0.500 0.000
I1 I 0.000 0.000 0.500
O2 O 0.500 0.000 0.000
# D(E_F) = 2.0 states/eV/cell
# space group = P4/mmm
# E above lowest polymorph = 0.0 meV/atom
# uncorrected energy = -17.01 eV per formula unit
# M_tot = 1.0 μB/cell